Li4Ti3Cr3W2O16 PBE+U relaxed; final energy = -7.61 eV/atom
1.0
2.976 5.177 0.004
-2.976 5.177 0.004
0.000 0.198 9.837
W O Ti Li Cr
2 16 3 4 3
Direct
0.336 0.336 0.015
0.668 0.668 0.512
0.039 0.480 0.161
0.963 0.516 0.662
0.005 0.005 0.191
0.164 0.164 0.895
0.999 0.999 0.690
0.483 0.483 0.163
0.837 0.837 0.402
0.327 0.327 0.393
0.675 0.163 0.901
0.480 0.039 0.161
0.163 0.675 0.901
0.841 0.325 0.397
0.516 0.963 0.662
0.661 0.661 0.895
0.325 0.841 0.397
0.519 0.519 0.659
0.835 0.337 0.785
0.169 0.169 0.286
0.337 0.835 0.785
0.665 0.665 0.102
0.999 0.999 0.008
0.996 0.996 0.506
0.334 0.334 0.598
0.662 0.171 0.287
0.829 0.829 0.788
0.171 0.662 0.287